No. 1
# Rb2ZnSbO4 | the Alexandria database | PBE | optimized geometry
data_Rb2ZnSbO4
_chemical_formula_sum 'Rb4 Zn2 Sb2 O8'
_symmetry_space_group_name_H-M 'I -4'
_symmetry_Int_Tables_number 82
_cell_length_a 6.136
_cell_length_b 6.136
_cell_length_c 8.302
_cell_angle_alpha 90.00
_cell_angle_beta 90.00
_cell_angle_gamma 90.00
loop_
_symmetry_equiv_pos_as_xyz
'x,y,z'
'y,-x,-z'
'-x,-y,z'
'-y,x,-z'
'x+1/2,y+1/2,z+1/2'
'y+1/2,-x+1/2,-z+1/2'
'-x+1/2,-y+1/2,z+1/2'
'-y+1/2,x+1/2,-z+1/2'
loop_
_atom_site_label
_atom_site_type_symbol
_atom_site_fract_x
_atom_site_fract_y
_atom_site_fract_z
Rb1 Rb 0.000 0.000 0.000
Rb2 Rb 0.000 0.500 0.250
Zn1 Zn 0.000 0.500 0.750
Sb1 Sb 0.000 0.000 0.500
O1 O 0.128 0.755 0.629
# Crystal system = tetragonal
# Density of states at the Fermi level = 5.097 states/eV per cell
# Formation energy from raw total energies = -1.39 eV per atom
# Uncorrected energy = -4.7871 eV per atom
# Spin magnetization = 0.00 Bohr magnetons per cell

---

No. 2
# HgPS2Cl | the Alexandria database | PBE | optimized geometry
data_HgPS2Cl
_chemical_formula_sum 'Hg1 P1 S2 Cl1'
_symmetry_space_group_name_H-M 'P 4/m m m'
_symmetry_Int_Tables_number 123
_symmetry_space_group_name_Hall '-P 4 2'
_cell_length_a 4.630
_cell_length_b 4.630
_cell_length_c 4.777
_cell_angle_alpha 90.00
_cell_angle_beta 90.00
_cell_angle_gamma 90.00
loop_
_atom_site_label
_atom_site_type_symbol
_atom_site_fract_x
_atom_site_fract_y
_atom_site_fract_z
Hg1 Hg 0.000 0.000 0.000
P1 P 0.500 0.500 0.500
S1 S 0.000 0.500 0.500
Cl1 Cl 0.500 0.500 0.000
# Crystal system = tetragonal
# Density of states at the Fermi level = 3.082 states/eV per cell
# Formation energy from raw total energies = 0.28 eV per atom
# Uncorrected energy = -2.8853 eV per atom
# E above lowest polymorph = 0 meV per atom
# Spin magnetization = 0.00 Bohr magnetons per cell

---

No. 3
# Y3CoIr2 | the Alexandria database | PBE | optimized geometry
data_Y3CoIr2
_chemical_formula_sum 'Y12 Co4 Ir8'
_symmetry_space_group_name_H-M 'P n m a'
_symmetry_Int_Tables_number 62
_cell_length_a 11.174
_cell_length_b 4.099
_cell_length_c 11.329
_cell_angle_alpha 90.00
_cell_angle_beta 90.00
_cell_angle_gamma 90.00
loop_
_symmetry_equiv_pos_as_xyz
'x,y,z'
'-x,-y,-z'
'-x+1/2,-y,z+1/2'
'x+1/2,y,-z+1/2'
'x+1/2,-y+1/2,-z+1/2'
'-x+1/2,y+1/2,z+1/2'
'-x,y+1/2,-z'
'x,-y+1/2,z'
loop_
_atom_site_label
_atom_site_type_symbol
_atom_site_fract_x
_atom_site_fract_y
_atom_site_fract_z
Y1 Y 0.053 0.250 0.119
Y2 Y 0.119 0.750 0.558
Y3 Y 0.205 0.250 0.802
Co1 Co 0.128 0.250 0.363
Ir1 Ir 0.026 0.750 0.312
Ir2 Ir 0.194 0.750 0.993
# Crystal system = orthorhombic
# Density of states at the Fermi level = 20.015 states/eV per cell
# ΔH_f (0 K) = -0.605 eV per atom
# Uncorrected energy = -7.9750 eV per atom
# Spin magnetization = 0.01 Bohr magnetons per cell